Record 1
CaEuSn4O12 | the Alexandria database | GGA-PBE | optimized geometry; theoretical density = 5.46 g/cm³; E_form (uncorrected) = -1.536 eV/atom
1.0
-4.866 0.034 2.960
1.117 -5.235 1.946
3.865 3.172 6.317
Ca Eu Sn O
1 1 4 12
Cartesian
-1.782 -2.472 2.332
1.856 1.480 3.258
-1.320 -0.247 8.698
-3.297 -1.870 5.466
-0.441 -4.386 4.981
1.537 -2.763 8.213
-0.908 1.274 7.337
2.721 -1.922 6.722
1.003 -3.332 3.914
-2.626 -0.136 4.529
1.688 0.814 5.723
0.562 -0.989 8.446
-1.813 -2.937 4.566
0.163 -0.437 3.230
0.151 -2.514 1.170
-2.051 -1.443 7.117
-2.251 -0.399 1.578
0.152 -3.383 6.744



Record 2
CaEuTiSnO6 | the Alexandria database | GGA-PBE | optimized geometry; theoretical density = 5.90 g/cm³; E_form (uncorrected) = -2.589 eV/atom
1.0
0.000 4.000 4.000
4.000 0.000 4.000
4.000 4.000 0.000
Ca Eu Ti Sn O
1 1 1 1 6
Cartesian
2.000 2.000 2.000
6.000 6.000 6.000
4.000 4.000 4.000
0.000 0.000 0.000
4.000 2.043 4.000
4.000 5.957 4.000
5.957 4.000 4.000
2.043 4.000 4.000
4.000 4.000 2.043
4.000 4.000 5.957



Record 3
CaEuZrSnO6 | the Alexandria database | GGA-PBE | optimized geometry; theoretical density = 5.87 g/cm³; E_form (uncorrected) = -2.615 eV/atom
1.0
4.897 1.126 2.974
0.592 -1.919 5.483
3.748 -4.315 1.194
Ca Eu Zr Sn O
1 1 1 1 6
Cartesian
2.309 -1.277 2.413
6.928 -3.830 7.238
4.619 -2.553 4.826
0.000 0.000 0.000
2.589 -2.234 5.157
6.648 -2.873 4.494
4.479 -4.408 5.759
4.759 -0.699 3.892
4.180 -3.441 2.995
5.057 -1.666 6.656



Among the records above, which one has the highest theoretical density? CaEuTiSnO6